Entry from the Alexandria database: a relaxed structure of Tm4Pd2Pt (GGA-PBE).

Geometry as extended XYZ:
```
7
Lattice="4.6253 0.0000 1.4451 2.0869 4.1277 1.4451 -0.0976 -0.0600 8.4372" Properties=species:S:1:pos:R:3 pbc="T T T"
Tm 5.8386 3.5905 5.6864
Tm 0.7760 0.4772 5.6409
Tm 4.1842 2.5731 2.8568
Tm 2.4304 1.4946 8.4705
Pd 4.9745 3.0591 8.4522
Pd 1.6401 1.0086 2.8751
Pt 0.0000 0.0000 0.0000
```

Calculated values
N(E_F), states/eV/cell: 3.57
Formation energy from the elements, kJ/mol of atoms: -86.1